Sr2GaN | PBE | relaxed

Computed properties:
Density   4.5 g/cm³
Formation energy (no corrections)   305 meV/atom
Space-group type   No. 225
Total DFT energy (no corrections)   -3.37 eV per atom

abc: 5.143 5.143 5.143
angles: 60.00 60.00 60.00
Fractional positions:
1 Sr 0.250 0.250 0.250
2 Sr 0.750 0.750 0.750
3 Ga 0.000 0.000 0.000
4 N 0.500 0.500 0.500

=====

Sr2In5Hg3 | PBE | relaxed

Computed properties:
Density   7.8 g/cm³
Space-group type   No. 72
Total DFT energy (no corrections)   -2.10 eV per atom

abc: 9.842 9.842 9.842
angles: 102.20 91.68 139.40
Fractional positions:
1 Sr 0.124 0.241 0.365
2 Sr 0.376 0.741 0.117
3 Sr 0.624 0.259 0.883
4 Sr 0.876 0.759 0.635
5 In 0.011 0.750 0.261
6 In 0.128 0.870 0.999
7 In 0.250 0.750 0.500
8 In 0.372 0.370 0.742
9 In 0.489 0.750 0.739
10 In 0.511 0.250 0.261
11 In 0.628 0.630 0.258
12 In 0.750 0.250 0.500
13 In 0.872 0.130 0.001
14 In 0.989 0.250 0.739
15 Hg 0.119 0.646 0.765
16 Hg 0.250 0.250 0.000
17 Hg 0.381 0.146 0.526
18 Hg 0.619 0.854 0.474
19 Hg 0.750 0.750 0.000
20 Hg 0.881 0.354 0.235

=====

NaMgBe | PBE | relaxed

Computed properties:
Density   1.3 g/cm³
Space-group type   No. 1
Total DFT energy (no corrections)   -1.98 eV per atom
Excess energy over the best structure of this formula in the dataset   0.000 eV per atom

abc: 3.792 3.819 11.308
angles: 98.70 90.03 119.76
Fractional positions:
1 Na 0.000 0.000 0.000
2 Na 0.236 0.467 0.735
3 Mg 0.748 0.494 0.238
4 Mg 0.827 0.651 0.500
5 Be 0.121 0.239 0.369
6 Be 0.454 0.906 0.369

=====

DyHfIrRh | PBE | relaxed

Computed properties:
Density   14.0 g/cm³
Space-group type   No. 99
Total DFT energy (no corrections)   -8.59 eV per atom
Excess energy over the best structure of this formula in the dataset   0.000 eV per atom

abc: 3.326 3.326 6.843
angles: 90.00 90.00 90.00
Fractional positions:
1 Dy 0.000 0.000 0.000
2 Hf 0.000 0.000 0.496
3 Ir 0.500 0.500 0.274
4 Rh 0.500 0.500 0.723

=====

SrZnAs2Br | PBE | relaxed

Computed properties:
Density   3.0 g/cm³
Formation energy (no corrections)   424 meV/atom
Space-group type   No. 123
Total DFT energy (no corrections)   -2.36 eV per atom
Excess energy over the best structure of this formula in the dataset   0.827 eV per atom

abc: 6.039 6.039 5.837
angles: 90.00 90.00 90.00
Fractional positions:
1 Sr 0.000 0.000 0.000
2 Zn 0.500 0.500 0.500
3 As 0.000 0.500 0.000
4 As 0.500 0.000 0.000
5 Br 0.000 0.000 0.500

=====

LaDy8Er6 | PBE | relaxed

Computed properties:
Density   8.3 g/cm³
Space-group type   No. 147
Total DFT energy (no corrections)   -4.37 eV per atom
Excess energy over the best structure of this formula in the dataset   0.096 eV per atom

abc: 9.324 9.324 6.514
angles: 90.00 90.00 120.00
Fractional positions:
1 La 0.000 0.000 0.000
2 Dy 0.001 0.308 0.381
3 Dy 0.307 0.999 0.381
4 Dy 0.308 0.307 0.619
5 Dy 0.333 0.667 0.362
6 Dy 0.667 0.333 0.638
7 Dy 0.692 0.693 0.381
8 Dy 0.693 0.001 0.619
9 Dy 0.999 0.692 0.619
10 Er 0.090 0.419 0.882
11 Er 0.328 0.910 0.882
12 Er 0.419 0.328 0.118
13 Er 0.581 0.672 0.882
14 Er 0.672 0.090 0.118
15 Er 0.910 0.581 0.118

=====

NaCaLa2Os | PBE | relaxed

Computed properties:
Density   4.8 g/cm³
Space-group type   No. 123
Total DFT energy (no corrections)   -4.89 eV per atom
Excess energy over the best structure of this formula in the dataset   0.000 eV per atom

abc: 5.575 5.575 5.899
angles: 90.00 90.00 90.00
Fractional positions:
1 Na 0.000 0.000 0.000
2 Ca 0.500 0.500 0.000
3 La 0.000 0.500 0.500
4 La 0.500 0.000 0.500
5 Os 0.500 0.500 0.500

=====

AlAu2Se | PBE | relaxed

Computed properties:
Density   10.2 g/cm³
Formation energy (no corrections)   -91 meV/atom
Space-group type   No. 99
Total DFT energy (no corrections)   -3.54 eV per atom

abc: 3.898 3.898 5.379
angles: 90.00 90.00 90.00
Fractional positions:
1 Al 0.000 0.000 0.000
2 Au 0.000 0.000 0.499
3 Au 0.500 0.500 0.498
4 Se 0.500 0.500 0.998